(1)
! SrBeCr2Pd PBE relaxed; values from VASP
! E_form ... 1.159 eV per atom
! Crystal system ... tetragonal
&SYSTEM
  ibrav = 0, nat = 5, ntyp = 4
/
ATOMIC_SPECIES
Sr 87.62 Sr.upf
Be 9.01 Be.upf
Cr 52.00 Cr.upf
Pd 106.42 Pd.upf
ATOMIC_POSITIONS crystal
Sr 0.000 0.000 0.000
Be 0.500 0.500 0.000
Cr 0.000 0.500 0.500
Cr 0.500 0.000 0.500
Pd 0.500 0.500 0.500
CELL_PARAMETERS angstrom
4.781 0.000 0.000
0.000 4.781 0.000
0.000 0.000 4.435

=====

(2)
! BeCrTePd2 PBE relaxed; values from VASP
! Formation energy from raw total energies ... 888 meV/atom
! Crystal system ... tetragonal
&SYSTEM
  ibrav = 0, nat = 5, ntyp = 4
/
ATOMIC_SPECIES
Be 9.01 Be.upf
Cr 52.00 Cr.upf
Te 127.60 Te.upf
Pd 106.42 Pd.upf
ATOMIC_POSITIONS crystal
Be 0.000 0.000 0.000
Cr 0.000 0.000 0.500
Te 0.500 0.500 0.000
Pd 0.000 0.500 0.500
Pd 0.500 0.000 0.500
CELL_PARAMETERS angstrom
4.633 0.000 0.000
0.000 4.633 0.000
0.000 0.000 4.290

=====

(3)
! BeTlCrPd2 PBE relaxed; values from VASP
! E_form ... 0.375 eV per atom
! Crystal system ... tetragonal
&SYSTEM
  ibrav = 0, nat = 5, ntyp = 4
/
ATOMIC_SPECIES
Be 9.01 Be.upf
Tl 204.38 Tl.upf
Cr 52.00 Cr.upf
Pd 106.42 Pd.upf
ATOMIC_POSITIONS crystal
Be 0.000 0.000 0.000
Tl 0.500 0.500 0.500
Cr 0.000 0.000 0.500
Pd 0.000 0.500 0.000
Pd 0.500 0.000 0.000
CELL_PARAMETERS angstrom
4.240 0.000 0.000
0.000 4.240 0.000
0.000 0.000 4.346

=====

(4)
! Pm2BeCrPt6 PBE relaxed; values from VASP
! E_form ... -0.683 eV per atom
! Crystal system ... trigonal
&SYSTEM
  ibrav = 0, nat = 10, ntyp = 4
/
ATOMIC_SPECIES
Pm 145.00 Pm.upf
Be 9.01 Be.upf
Cr 52.00 Cr.upf
Pt 195.08 Pt.upf
ATOMIC_POSITIONS crystal
Pm 0.211 0.211 0.211
Pm 0.789 0.789 0.789
Be 0.000 0.000 0.000
Cr 0.500 0.500 0.500
Pt 0.240 0.240 0.722
Pt 0.240 0.722 0.240
Pt 0.278 0.760 0.760
Pt 0.722 0.240 0.240
Pt 0.760 0.278 0.760
Pt 0.760 0.760 0.278
CELL_PARAMETERS angstrom
2.863 1.653 6.632
-2.863 1.653 6.632
0.000 -3.306 6.632

=====

(5)
! Pr3BeCrS7 PBE relaxed; values from VASP
! Formation energy from raw total energies ... -1585 meV/atom
! Crystal system ... hexagonal
&SYSTEM
  ibrav = 0, nat = 24, ntyp = 4
/
ATOMIC_SPECIES
Pr 140.91 Pr.upf
Be 9.01 Be.upf
Cr 52.00 Cr.upf
S 32.06 S.upf
ATOMIC_POSITIONS crystal
Pr 0.152 0.392 0.000
Pr 0.240 0.848 0.000
Pr 0.392 0.240 0.500
Pr 0.608 0.760 0.000
Pr 0.760 0.152 0.500
Pr 0.848 0.608 0.500
Be 0.333 0.667 0.412
Be 0.667 0.333 0.912
Cr 0.000 0.000 0.318
Cr 0.000 0.000 0.818
S 0.086 0.218 0.573
S 0.106 0.583 0.287
S 0.132 0.914 0.573
S 0.218 0.132 0.073
S 0.333 0.667 0.758
S 0.417 0.524 0.287
S 0.476 0.894 0.287
S 0.524 0.106 0.787
S 0.583 0.476 0.787
S 0.667 0.333 0.258
S 0.782 0.868 0.573
S 0.868 0.086 0.073
S 0.894 0.417 0.787
S 0.914 0.782 0.073
CELL_PARAMETERS angstrom
9.958 0.000 0.000
-4.979 8.624 0.000
0.000 0.000 6.109

=====

(6)
! BeCrPt2 PBE relaxed; values from VASP
! E_form ... -0.309 eV per atom
! Crystal system ... monoclinic
&SYSTEM
  ibrav = 0, nat = 4, ntyp = 3
/
ATOMIC_SPECIES
Be 9.01 Be.upf
Cr 52.00 Cr.upf
Pt 195.08 Pt.upf
ATOMIC_POSITIONS crystal
Be 0.000 0.000 0.000
Cr 0.259 0.259 0.656
Pt 0.506 0.506 0.491
Pt 0.728 0.728 0.127
CELL_PARAMETERS angstrom
4.487 -1.408 0.000
4.487 1.408 0.000
-1.259 0.000 4.219

=====

(7)
! BeCrPt2 PBE relaxed; values from VASP
! E_form ... -0.367 eV per atom
! Crystal system ... orthorhombic
&SYSTEM
  ibrav = 0, nat = 4, ntyp = 3
/
ATOMIC_SPECIES
Be 9.01 Be.upf
Cr 52.00 Cr.upf
Pt 195.08 Pt.upf
ATOMIC_POSITIONS crystal
Be 0.000 0.000 0.000
Cr 0.500 0.500 0.000
Pt 0.242 0.742 0.500
Pt 0.758 0.258 0.500
CELL_PARAMETERS angstrom
-1.903 1.983 3.532
1.903 -1.983 3.532
1.903 1.983 -3.532

=====

(8)
! Be2CrPt2 PBE relaxed; values from VASP
! E_form ... 0.016 eV per atom
! ΔE to the lowest computed polymorph ... 0.495 eV/atom
! Crystal system ... tetragonal
&SYSTEM
  ibrav = 0, nat = 5, ntyp = 3
/
ATOMIC_SPECIES
Be 9.01 Be.upf
Cr 52.00 Cr.upf
Pt 195.08 Pt.upf
ATOMIC_POSITIONS crystal
Be 0.115 0.115 0.000
Be 0.885 0.885 0.000
Cr 0.500 0.500 0.000
Pt 0.250 0.750 0.500
Pt 0.750 0.250 0.500
CELL_PARAMETERS angstrom
-1.906 1.906 4.471
1.906 -1.906 4.471
1.906 1.906 -4.471

=====

(9)
! Be2Cr2Pt PBE relaxed; values from VASP
! E_form ... -0.139 eV per atom
! ΔE to the lowest computed polymorph ... 0.000 eV/atom
! Crystal system ... tetragonal
&SYSTEM
  ibrav = 0, nat = 10, ntyp = 3
/
ATOMIC_SPECIES
Be 9.01 Be.upf
Cr 52.00 Cr.upf
Pt 195.08 Pt.upf
ATOMIC_POSITIONS crystal
Be 0.125 0.375 0.000
Be 0.375 0.875 0.000
Be 0.625 0.125 0.000
Be 0.875 0.625 0.000
Cr 0.168 0.668 0.500
Cr 0.332 0.168 0.500
Cr 0.668 0.832 0.500
Cr 0.832 0.332 0.500
Pt 0.000 0.000 0.000
Pt 0.500 0.500 0.000
CELL_PARAMETERS angstrom
5.961 0.000 0.000
0.000 5.961 0.000
0.000 0.000 3.154

=====

(10)
! BeCrPt PBE relaxed; values from VASP
! E_form ... -0.154 eV per atom
! ΔE to the lowest computed polymorph ... 0.217 eV/atom
! Crystal system ... triclinic
&SYSTEM
  ibrav = 0, nat = 6, ntyp = 3
/
ATOMIC_SPECIES
Be 9.01 Be.upf
Cr 52.00 Cr.upf
Pt 195.08 Pt.upf
ATOMIC_POSITIONS crystal
Be 0.000 0.000 0.000
Be 0.172 0.764 0.514
Cr 0.291 0.617 0.925
Cr 0.518 0.450 0.583
Pt 0.649 0.300 0.036
Pt 0.796 0.004 0.454
CELL_PARAMETERS angstrom
4.237 0.000 0.000
-2.042 4.053 0.000
-0.314 -2.046 4.296

=====

(11)
! BeCrPt PBE relaxed; values from VASP
! E_form ... -0.061 eV per atom
! ΔE to the lowest computed polymorph ... 0.310 eV/atom
! Crystal system ... cubic
&SYSTEM
  ibrav = 0, nat = 3, ntyp = 3
/
ATOMIC_SPECIES
Be 9.01 Be.upf
Cr 52.00 Cr.upf
Pt 195.08 Pt.upf
ATOMIC_POSITIONS crystal
Be 0.000 0.000 0.000
Cr 0.250 0.250 0.250
Pt 0.750 0.750 0.750
CELL_PARAMETERS angstrom
0.000 2.758 2.758
2.758 0.000 2.758
2.758 2.758 0.000

=====

(12)
! BeCrPt PBE relaxed; values from VASP
! E_form ... -0.304 eV per atom
! ΔE to the lowest computed polymorph ... 0.067 eV/atom
! Crystal system ... orthorhombic
&SYSTEM
  ibrav = 0, nat = 6, ntyp = 3
/
ATOMIC_SPECIES
Be 9.01 Be.upf
Cr 52.00 Cr.upf
Pt 195.08 Pt.upf
ATOMIC_POSITIONS crystal
Be 0.044 0.956 0.750
Be 0.956 0.044 0.250
Cr 0.218 0.782 0.750
Cr 0.782 0.218 0.250
Pt 0.399 0.601 0.750
Pt 0.601 0.399 0.250
CELL_PARAMETERS angstrom
1.351 -7.246 0.000
1.351 7.246 0.000
0.000 0.000 3.602

=====

| no. | total DFT energy (no corrections) (eV/cell) |
| --- | --- |
| 1 | -24.05 |
| 2 | -22.43 |
| 3 | -24.23 |
| 4 | -65.92 |
| 5 | -151.20 |
| 6 | -26.67 |
| 7 | -26.90 |
| 8 | -29.08 |
| 9 | -66.87 |
| 10 | -39.71 |
| 11 | -19.57 |
| 12 | -40.61 |